[1]
Here is a relaxed structure of HoHgGe from Alexandria via LeMat-Bulk. Energies are from PBE-GGA.

Computed properties:
Energy of formation from the pure elements in eV/atom: -0.4396

a = 4.091 Å, b = 4.436 Å, c = 4.436 Å
α = 120.00°, β = 90.00°, γ = 90.00°
Sites, in units of the cell vectors:
Ge  0.054  0.000  0.000
Hg  0.267  0.333  0.667
Ho  0.679  0.667  0.333

[2]
Here is a relaxed structure of ErPdSe from Alexandria via LeMat-Bulk. Energies are from PBE-GGA.

Computed properties:
Uncorrected formation energy in eV/atom: -1.252

a = 3.942 Å, b = 5.314 Å, c = 6.885 Å
α = 76.95°, β = 89.98°, γ = 111.78°
Sites, in units of the cell vectors:
Se  0.326  0.652  0.187
Se  0.674  0.348  0.813
Er  0.603  0.207  0.249
Er  0.397  0.793  0.751
Pd  0.119  0.239  0.567
Pd  0.881  0.761  0.433

[3]
Here is a relaxed structure of YMgI4 from Alexandria via LeMat-Bulk. Energies are from PBE-GGA.

Computed properties:
Uncorrected formation energy in eV/atom: -1.098

a = 4.117 Å, b = 7.811 Å, c = 7.797 Å
α = 93.26°, β = 90.00°, γ = 90.00°
Last column: magnetic moment on the atom in μB.
Sites, in units of the cell vectors:
Y  0.500  0.000  0.500  0.14
Mg  0.000  0.000  0.000  0.00
I  0.000  0.230  0.324  0.00
I  0.500  0.786  0.154  0.00
I  0.500  0.214  0.846  0.00
I  0.000  0.770  0.676  0.00

[4]
Here is a relaxed structure of Ba2PdPt from Alexandria via LeMat-Bulk. Energies are from PBE-GGA.

Computed properties:
Energy of formation from the pure elements in eV/atom: -0.4952

a = 4.522 Å, b = 4.522 Å, c = 8.191 Å
α = 73.97°, β = 73.97°, γ = 60.00°
Sites, in units of the cell vectors:
Ba  0.079  0.079  0.762
Ba  0.253  0.253  0.240
Pd  0.502  0.502  0.493
Pt  0.665  0.665  0.006

[5]
Here is a relaxed structure of BeTcTe2 from Alexandria via LeMat-Bulk. Energies are from PBE-GGA.

Computed properties:
Uncorrected formation energy in eV/atom: 0.526

a = 3.270 Å, b = 3.270 Å, c = 6.958 Å
α = 90.00°, β = 90.00°, γ = 90.00°
Sites, in units of the cell vectors:
Be  0.500  0.500  0.250
Te  0.000  0.000  0.993
Te  0.000  0.000  0.507
Tc  0.500  0.500  0.750

[6]
Here is a relaxed structure of Tb2Tm13 from Alexandria via LeMat-Bulk. Energies are from PBE-GGA.

Computed properties:
Polymorph energy (0 for the lowest one) in eV per atom: 0.0000
Energy of formation from the pure elements in eV/atom: 0.0539

a = 6.485 Å, b = 8.592 Å, c = 8.850 Å
α = 110.83°, β = 84.45°, γ = 99.12°
Sites, in units of the cell vectors:
Tb  0.802  0.805  0.603
Tb  0.198  0.195  0.397
Tm  0.762  0.576  0.024
Tm  0.238  0.424  0.976
Tm  0.000  0.000  0.000
Tm  0.334  0.001  0.668
Tm  0.666  0.999  0.332
Tm  0.096  0.573  0.692
Tm  0.904  0.427  0.308
Tm  0.429  0.576  0.359
Tm  0.571  0.424  0.641
Tm  0.465  0.803  0.934
Tm  0.535  0.197  0.066
Tm  0.865  0.196  0.734
Tm  0.135  0.804  0.266

> What is the formula in the third record?

YMgI4